[1]
Computed, not measured: Nb3Bi5Au after structural relaxation at the PBE level of DFT.

Structure (CIF):
```
data_Nb3Bi5Au
_chemical_formula_sum 'Nb3 Bi5 Au1'
_cell_length_a 5.773
_cell_length_b 5.773
_cell_length_c 8.642
_cell_angle_alpha 90.00
_cell_angle_beta 90.00
_cell_angle_gamma 120.00
_symmetry_space_group_name_H-M 'P 1'
_symmetry_Int_Tables_number 1
loop_
_symmetry_equiv_pos_as_xyz
'x,y,z'
loop_
_atom_site_label
_atom_site_fract_x
_atom_site_fract_y
_atom_site_fract_z
Nb1 0.000 0.500 0.000
Nb2 0.500 0.000 0.000
Nb3 0.500 0.500 0.000
Bi1 0.000 0.000 0.000
Bi2 0.333 0.667 0.295
Bi3 0.333 0.667 0.705
Bi4 0.667 0.333 0.295
Bi5 0.667 0.333 0.705
Au1 0.000 0.000 0.500
```

Values from the calculation:
**Electronic total energy**: -5.855 eV/atom


[2]
Computed, not measured: NbBiAu after structural relaxation at the PBE level of DFT.

Structure (CIF):
```
data_NbBiAu
_chemical_formula_sum 'Nb1 Bi1 Au1'
_cell_length_a 4.718
_cell_length_b 4.718
_cell_length_c 4.718
_cell_angle_alpha 60.00
_cell_angle_beta 60.00
_cell_angle_gamma 60.00
_symmetry_space_group_name_H-M 'P 1'
_symmetry_Int_Tables_number 1
loop_
_symmetry_equiv_pos_as_xyz
'x,y,z'
loop_
_atom_site_label
_atom_site_fract_x
_atom_site_fract_y
_atom_site_fract_z
Nb1 0.000 0.000 0.000
Bi1 0.250 0.250 0.250
Au1 0.750 0.750 0.750
```

Values from the calculation:
**Electronic total energy**: -5.423 eV/atom


[3]
Computed, not measured: NbReBiAu after structural relaxation at the PBE level of DFT.

Structure (CIF):
```
data_NbReBiAu
_chemical_formula_sum 'Nb1 Re1 Bi1 Au1'
_cell_length_a 4.714
_cell_length_b 4.714
_cell_length_c 4.714
_cell_angle_alpha 60.00
_cell_angle_beta 60.00
_cell_angle_gamma 60.00
_symmetry_space_group_name_H-M 'P 1'
_symmetry_Int_Tables_number 1
loop_
_symmetry_equiv_pos_as_xyz
'x,y,z'
loop_
_atom_site_label
_atom_site_fract_x
_atom_site_fract_y
_atom_site_fract_z
Nb1 0.000 0.000 0.000
Re1 0.500 0.500 0.500
Bi1 0.250 0.250 0.250
Au1 0.750 0.750 0.750
```

Values from the calculation:
**Excess energy over the best structure of this formula in the dataset**: 0.0 kJ per mole of atoms